(1)
# GaSeI

A relaxed GaSeI crystal (PBE, Alexandria).

Output
- Crystal system: monoclinic
- Energy: -3.2285 eV per atom
- SG: No. 11

Unit cell a=7.092 b=3.968 c=8.300 alpha=90.00 beta=91.40 gamma=90.00
Sites, in units of the cell vectors:
1 Ga 0.050 0.250 0.349
2 Ga 0.950 0.750 0.651
3 Se 0.166 0.250 0.638
4 Se 0.834 0.750 0.362
5 I 0.292 0.250 0.134
6 I 0.708 0.750 0.866

***

(2)
# Ga2SeI

A relaxed Ga2SeI crystal (PBE, Alexandria).

Output
- Polymorph energy (0 for the lowest one): 182.5 meV per atom
- Crystal system: cubic
- SG: No. 225

Unit cell a=7.438 b=7.438 c=7.438 alpha=90.00 beta=90.00 gamma=90.00
Sites, in units of the cell vectors:
1 Ga 0.250 0.250 0.250
2 Ga 0.250 0.250 0.750
3 Ga 0.250 0.750 0.250
4 Ga 0.250 0.750 0.750
5 Ga 0.750 0.250 0.250
6 Ga 0.750 0.250 0.750
7 Ga 0.750 0.750 0.250
8 Ga 0.750 0.750 0.750
9 Se 0.000 0.000 0.000
10 Se 0.000 0.500 0.500
11 Se 0.500 0.000 0.500
12 Se 0.500 0.500 0.000
13 I 0.000 0.000 0.500
14 I 0.000 0.500 0.000
15 I 0.500 0.000 0.000
16 I 0.500 0.500 0.500

***

(3)
# GaSe2I

A relaxed GaSe2I crystal (PBE, Alexandria).

Output
- Polymorph energy (0 for the lowest one): 0.0 meV per atom
- Crystal system: trigonal
- SG: No. 166

Unit cell a=3.992 b=3.992 c=24.738 alpha=90.00 beta=90.00 gamma=120.00
Sites, in units of the cell vectors:
1 Ga 0.000 0.000 0.000
2 Ga 0.333 0.667 0.667
3 Ga 0.667 0.333 0.333
4 Se 0.000 0.000 0.388
5 Se 0.000 0.000 0.612
6 Se 0.333 0.667 0.054
7 Se 0.333 0.667 0.279
8 Se 0.667 0.333 0.721
9 Se 0.667 0.333 0.946
10 I 0.000 0.000 0.500
11 I 0.333 0.667 0.167
12 I 0.667 0.333 0.833

***

(4)
# GaSeI2

A relaxed GaSeI2 crystal (PBE, Alexandria).

Output
- Polymorph energy (0 for the lowest one): 520.0 meV per atom
- Crystal system: tetragonal
- SG: No. 122

Unit cell a=8.222 b=8.222 c=7.804 alpha=90.00 beta=90.00 gamma=90.00
Sites, in units of the cell vectors:
1 Ga 0.000 0.000 0.000
2 Ga 0.000 0.500 0.250
3 Ga 0.500 0.000 0.750
4 Ga 0.500 0.500 0.500
5 Se 0.000 0.000 0.500
6 Se 0.000 0.500 0.750
7 Se 0.500 0.000 0.250
8 Se 0.500 0.500 0.000
9 I 0.245 0.250 0.125
10 I 0.250 0.745 0.375
11 I 0.250 0.755 0.875
12 I 0.255 0.250 0.625
13 I 0.745 0.750 0.625
14 I 0.750 0.245 0.875
15 I 0.750 0.255 0.375
16 I 0.755 0.750 0.125

***

(5)
# Ga2SeI

A relaxed Ga2SeI crystal (PBE, Alexandria).

Output
- Polymorph energy (0 for the lowest one): 0.0 meV per atom
- Crystal system: tetragonal
- SG: No. 122

Unit cell a=7.585 b=7.585 c=8.547 alpha=90.00 beta=90.00 gamma=90.00
Sites, in units of the cell vectors:
1 Ga 0.206 0.250 0.125
2 Ga 0.250 0.706 0.375
3 Ga 0.250 0.794 0.875
4 Ga 0.294 0.250 0.625
5 Ga 0.706 0.750 0.625
6 Ga 0.750 0.206 0.875
7 Ga 0.750 0.294 0.375
8 Ga 0.794 0.750 0.125
9 Se 0.000 0.000 0.000
10 Se 0.000 0.500 0.250
11 Se 0.500 0.000 0.750
12 Se 0.500 0.500 0.500
13 I 0.000 0.000 0.500
14 I 0.000 0.500 0.750
15 I 0.500 0.000 0.250
16 I 0.500 0.500 0.000

***

(6)
# GaSe2I

A relaxed GaSe2I crystal (PBE, Alexandria).

Output
- Polymorph energy (0 for the lowest one): 205.6 meV per atom
- Crystal system: tetragonal
- SG: No. 122

Unit cell a=7.168 b=7.168 c=9.571 alpha=90.00 beta=90.00 gamma=90.00
Sites, in units of the cell vectors:
1 Ga 0.000 0.000 0.000
2 Ga 0.000 0.500 0.250
3 Ga 0.500 0.000 0.750
4 Ga 0.500 0.500 0.500
5 Se 0.172 0.250 0.125
6 Se 0.250 0.672 0.375
7 Se 0.250 0.828 0.875
8 Se 0.328 0.250 0.625
9 Se 0.672 0.750 0.625
10 Se 0.750 0.172 0.875
11 Se 0.750 0.328 0.375
12 Se 0.828 0.750 0.125
13 I 0.000 0.000 0.500
14 I 0.000 0.500 0.750
15 I 0.500 0.000 0.250
16 I 0.500 0.500 0.000

***

(7)
# GaSeI

A relaxed GaSeI crystal (PBE, Alexandria).

Output
- Crystal system: triclinic
- Energy: -3.1663 eV per atom
- SG: No. 1

Unit cell a=6.523 b=6.672 c=7.366 alpha=114.33 beta=112.19 gamma=96.06
Sites, in units of the cell vectors:
1 Ga 0.000 0.000 0.000
2 Ga 0.500 0.000 0.000
3 Se 0.124 0.724 0.776
4 Se 0.838 0.944 0.220
5 I 0.394 0.372 0.246
6 I 0.662 0.134 0.762

***

(8)
# GaSe2I

A relaxed GaSe2I crystal (PBE, Alexandria).

Output
- Polymorph energy (0 for the lowest one): 461.9 meV per atom
- Crystal system: trigonal
- SG: No. 166

Unit cell a=6.141 b=6.141 c=12.120 alpha=90.00 beta=90.00 gamma=120.00
Sites, in units of the cell vectors:
1 Ga 0.000 0.000 0.000
2 Ga 0.333 0.667 0.667
3 Ga 0.667 0.333 0.333
4 Se 0.000 0.000 0.185
5 Se 0.000 0.000 0.815
6 Se 0.333 0.667 0.482
7 Se 0.333 0.667 0.851
8 Se 0.667 0.333 0.149
9 Se 0.667 0.333 0.518
10 I 0.000 0.000 0.500
11 I 0.333 0.667 0.167
12 I 0.667 0.333 0.833

***

(9)
# GaSeI

A relaxed GaSeI crystal (PBE, Alexandria).

Output
- Crystal system: triclinic
- Energy: -3.0449 eV per atom
- SG: No. 1

Unit cell a=4.057 b=7.509 c=8.119 alpha=76.93 beta=75.85 gamma=74.41
Sites, in units of the cell vectors:
1 Ga 0.000 0.000 0.000
2 Ga 0.109 0.661 0.122
3 Se 0.316 0.450 0.917
4 Se 0.365 0.160 0.113
5 I 0.126 0.068 0.672
6 I 0.545 0.561 0.356

***

(10)
# Ga2Se2I

A relaxed Ga2Se2I crystal (PBE, Alexandria).

Output
- Crystal system: tetragonal
- Energy: -3.3227 eV per atom
- SG: No. 109

Unit cell a=7.659 b=7.659 c=7.659 alpha=115.23 beta=115.23 gamma=98.48
Sites, in units of the cell vectors:
1 Ga 0.305 0.000 0.305
2 Ga 0.695 0.000 0.695
3 Ga 0.750 0.555 0.805
4 Ga 0.750 0.945 0.195
5 Se 0.506 0.245 0.738
6 Se 0.506 0.768 0.262
7 Se 0.518 0.756 0.762
8 Se 0.995 0.756 0.238
9 I 0.117 0.117 0.000
10 I 0.867 0.367 0.500

***

(11)
# GaSeI2

A relaxed GaSeI2 crystal (PBE, Alexandria).

Output
- Polymorph energy (0 for the lowest one): 639.1 meV per atom
- Crystal system: cubic
- SG: No. 225

Unit cell a=7.800 b=7.800 c=7.800 alpha=90.00 beta=90.00 gamma=90.00
Sites, in units of the cell vectors:
1 Ga 0.000 0.000 0.000
2 Ga 0.000 0.500 0.500
3 Ga 0.500 0.000 0.500
4 Ga 0.500 0.500 0.000
5 Se 0.000 0.000 0.500
6 Se 0.000 0.500 0.000
7 Se 0.500 0.000 0.000
8 Se 0.500 0.500 0.500
9 I 0.250 0.250 0.250
10 I 0.250 0.250 0.750
11 I 0.250 0.750 0.250
12 I 0.250 0.750 0.750
13 I 0.750 0.250 0.250
14 I 0.750 0.250 0.750
15 I 0.750 0.750 0.250
16 I 0.750 0.750 0.750

***

(12)
# GaSeI

A relaxed GaSeI crystal (PBE, Alexandria).

Output
- Crystal system: trigonal
- Energy: -3.0884 eV per atom
- SG: No. 156

Unit cell a=3.863 b=3.863 c=7.276 alpha=90.00 beta=90.00 gamma=120.00
Sites, in units of the cell vectors:
1 Ga 0.000 0.000 0.000
2 Se 0.333 0.667 0.832
3 I 0.667 0.333 0.270

***

(13)
# GaSeI

A relaxed GaSeI crystal (PBE, Alexandria).

Output
- Crystal system: triclinic
- Energy: -2.9647 eV per atom
- SG: No. 1

Unit cell a=4.129 b=6.547 c=8.450 alpha=74.89 beta=83.01 gamma=83.58
Sites, in units of the cell vectors:
1 Ga 0.000 0.000 0.000
2 Ga 0.430 0.920 0.589
3 Se 0.688 0.736 0.837
4 Se 0.908 0.120 0.632
5 I 0.441 0.366 0.026
6 I 0.501 0.740 0.351

***

(14)
# GaSeI

A relaxed GaSeI crystal (PBE, Alexandria).

Output
- Crystal system: monoclinic
- Energy: -3.1681 eV per atom
- SG: No. 5

Unit cell a=9.279 b=11.594 c=6.514 alpha=90.00 beta=134.42 gamma=90.00
Sites, in units of the cell vectors:
1 Ga 0.000 0.000 0.000
2 Ga 0.000 0.000 0.500
3 Ga 0.500 0.500 0.000
4 Ga 0.500 0.500 0.500
5 Se 0.200 0.094 0.450
6 Se 0.300 0.594 0.550
7 Se 0.700 0.594 0.450
8 Se 0.800 0.094 0.550
9 I 0.220 0.858 0.969
10 I 0.280 0.358 0.031
11 I 0.720 0.358 0.969
12 I 0.780 0.858 0.031

***

(15)
# Sm8Ga3SeI4

A relaxed Sm8Ga3SeI4 crystal (PBE, Alexandria).

Output
- Crystal system: trigonal
- Energy: -4.4532 eV per atom
- SG: No. 166

Unit cell a=9.025 b=9.025 c=9.025 alpha=57.27 beta=57.27 gamma=57.27
Sites, in units of the cell vectors:
1 Sm 0.227 0.737 0.737
2 Sm 0.234 0.234 0.234
3 Sm 0.263 0.263 0.773
4 Sm 0.263 0.773 0.263
5 Sm 0.737 0.227 0.737
6 Sm 0.737 0.737 0.227
7 Sm 0.766 0.766 0.766
8 Sm 0.773 0.263 0.263
9 Ga 0.000 0.000 0.500
10 Ga 0.000 0.500 0.000
11 Ga 0.500 0.000 0.000
12 Se 0.500 0.500 0.500
13 I 0.000 0.000 0.000
14 I 0.000 0.500 0.500
15 I 0.500 0.000 0.500
16 I 0.500 0.500 0.000

***

(16)
# Sm4GaSeI2

A relaxed Sm4GaSeI2 crystal (PBE, Alexandria).

Output
- Crystal system: monoclinic
- Energy: -4.6330 eV per atom
- SG: No. 10

Unit cell a=7.367 b=4.325 c=7.995 alpha=90.00 beta=108.59 gamma=90.00
Sites, in units of the cell vectors:
1 Sm 0.228 0.000 0.199
2 Sm 0.262 0.500 0.804
3 Sm 0.738 0.500 0.196
4 Sm 0.772 0.000 0.801
5 Ga 0.000 0.500 0.000
6 Se 0.500 0.000 0.000
7 I 0.000 0.000 0.500
8 I 0.500 0.500 0.500

***

(17)
# Sm6Ga2SeI3

A relaxed Sm6Ga2SeI3 crystal (PBE, Alexandria).

Output
- Crystal system: monoclinic
- Energy: -4.5222 eV per atom
- SG: No. 12

Unit cell a=7.455 b=7.455 c=7.959 alpha=98.97 beta=98.97 gamma=119.97
Sites, in units of the cell vectors:
1 Sm 0.094 0.432 0.799
2 Sm 0.227 0.227 0.200
3 Sm 0.432 0.094 0.799
4 Sm 0.568 0.906 0.201
5 Sm 0.773 0.773 0.800
6 Sm 0.906 0.568 0.201
7 Ga 0.167 0.833 0.000
8 Ga 0.833 0.167 0.000
9 Se 0.500 0.500 0.000
10 I 0.000 0.000 0.500
11 I 0.334 0.666 0.500
12 I 0.666 0.334 0.500

***

(18)
# Sr2GaSeI

A relaxed Sr2GaSeI crystal (PBE, Alexandria).

Output
- Crystal system: tetragonal
- Energy: -3.0000 eV per atom
- SG: No. 123

Unit cell a=5.963 b=5.963 c=5.603 alpha=90.00 beta=90.00 gamma=90.00
Sites, in units of the cell vectors:
1 Sr 0.000 0.500 0.000
2 Sr 0.500 0.000 0.000
3 Ga 0.000 0.000 0.500
4 Se 0.000 0.000 0.000
5 I 0.500 0.500 0.500

***

(19)
# GaTeSe2I

A relaxed GaTeSe2I crystal (PBE, Alexandria).

Output
- Crystal system: tetragonal
- Energy: -2.6306 eV per atom
- SG: No. 123

Unit cell a=5.322 b=5.322 c=6.200 alpha=90.00 beta=90.00 gamma=90.00
Sites, in units of the cell vectors:
1 Ga 0.000 0.000 0.000
2 Te 0.000 0.000 0.500
3 Se 0.000 0.500 0.500
4 Se 0.500 0.000 0.500
5 I 0.500 0.500 0.000

***

(20)
# GaTe2SeI

A relaxed GaTe2SeI crystal (PBE, Alexandria).

Output
- Polymorph energy (0 for the lowest one): 0.0 meV per atom
- Crystal system: tetragonal
- SG: No. 123

Unit cell a=5.566 b=5.566 c=5.771 alpha=90.00 beta=90.00 gamma=90.00
Sites, in units of the cell vectors:
1 Ga 0.000 0.000 0.000
2 Te 0.000 0.500 0.500
3 Te 0.500 0.000 0.500
4 Se 0.500 0.500 0.500
5 I 0.500 0.500 0.000

***

(21)
# GaTeSeI2

A relaxed GaTeSeI2 crystal (PBE, Alexandria).

Output
- Polymorph energy (0 for the lowest one): 0.0 meV per atom
- Crystal system: tetragonal
- SG: No. 123

Unit cell a=5.785 b=5.785 c=5.623 alpha=90.00 beta=90.00 gamma=90.00
Sites, in units of the cell vectors:
1 Ga 0.000 0.000 0.000
2 Te 0.500 0.500 0.000
3 Se 0.500 0.500 0.500
4 I 0.000 0.500 0.500
5 I 0.500 0.000 0.500

***

(22)
# GaTeSeI2

A relaxed GaTeSeI2 crystal (PBE, Alexandria).

Output
- Polymorph energy (0 for the lowest one): 221.6 meV per atom
- Crystal system: tetragonal
- SG: No. 123

Unit cell a=5.437 b=5.437 c=5.713 alpha=90.00 beta=90.00 gamma=90.00
Sites, in units of the cell vectors:
1 Ga 0.000 0.000 0.000
2 Te 0.000 0.000 0.500
3 Se 0.500 0.500 0.500
4 I 0.000 0.500 0.000
5 I 0.500 0.000 0.000

***

(23)
# GaTe2SeI

A relaxed GaTe2SeI crystal (PBE, Alexandria).

Output
- Polymorph energy (0 for the lowest one): 207.4 meV per atom
- Crystal system: tetragonal
- SG: No. 123

Unit cell a=5.479 b=5.479 c=5.291 alpha=90.00 beta=90.00 gamma=90.00
Sites, in units of the cell vectors:
1 Ga 0.000 0.000 0.000
2 Te 0.000 0.500 0.000
3 Te 0.500 0.000 0.000
4 Se 0.500 0.500 0.500
5 I 0.000 0.000 0.500

***

(24)
# GaSiI2

A relaxed GaSiI2 crystal (PBE, Alexandria).

Output
- Crystal system: tetragonal
- Energy: -2.5340 eV per atom
- SG: No. 122

Unit cell a=6.142 b=6.142 c=17.448 alpha=90.00 beta=90.00 gamma=90.00
Sites, in units of the cell vectors:
1 Ga 0.000 0.000 0.000
2 Ga 0.000 0.500 0.250
3 Ga 0.500 0.000 0.750
4 Ga 0.500 0.500 0.500
5 Si 0.000 0.000 0.500
6 Si 0.000 0.500 0.750
7 Si 0.500 0.000 0.250
8 Si 0.500 0.500 0.000
9 I 0.207 0.250 0.625
10 I 0.250 0.707 0.875
11 I 0.250 0.793 0.375
12 I 0.293 0.250 0.125
13 I 0.707 0.750 0.125
14 I 0.750 0.207 0.375
15 I 0.750 0.293 0.875
16 I 0.793 0.750 0.625

***

(25)
# Ga3SiI

A relaxed Ga3SiI crystal (PBE, Alexandria).

Output
- Polymorph energy (0 for the lowest one): 905.8 meV per atom
- Crystal system: cubic
- SG: No. 221

Unit cell a=5.906 b=5.906 c=5.906 alpha=90.00 beta=90.00 gamma=90.00
Sites, in units of the cell vectors:
1 Ga 0.000 0.000 0.500
2 Ga 0.000 0.500 0.000
3 Ga 0.500 0.000 0.000
4 Si 0.500 0.500 0.500
5 I 0.000 0.000 0.000

***

(26)
# GaSi2I

A relaxed GaSi2I crystal (PBE, Alexandria).

Output
- Polymorph energy (0 for the lowest one): 164.5 meV per atom
- Crystal system: cubic
- SG: No. 225

Unit cell a=6.982 b=6.982 c=6.982 alpha=90.00 beta=90.00 gamma=90.00
Sites, in units of the cell vectors:
1 Ga 0.000 0.000 0.000
2 Ga 0.000 0.500 0.500
3 Ga 0.500 0.000 0.500
4 Ga 0.500 0.500 0.000
5 Si 0.250 0.250 0.250
6 Si 0.250 0.250 0.750
7 Si 0.250 0.750 0.250
8 Si 0.250 0.750 0.750
9 Si 0.750 0.250 0.250
10 Si 0.750 0.250 0.750
11 Si 0.750 0.750 0.250
12 Si 0.750 0.750 0.750
13 I 0.000 0.000 0.500
14 I 0.000 0.500 0.000
15 I 0.500 0.000 0.000
16 I 0.500 0.500 0.500

***

(27)
# GaSiI2

A relaxed GaSiI2 crystal (PBE, Alexandria).

Output
- Crystal system: cubic
- Energy: -2.5347 eV per atom
- SG: No. 225

Unit cell a=7.657 b=7.657 c=7.657 alpha=90.00 beta=90.00 gamma=90.00
Sites, in units of the cell vectors:
1 Ga 0.000 0.000 0.000
2 Ga 0.000 0.500 0.500
3 Ga 0.500 0.000 0.500
4 Ga 0.500 0.500 0.000
5 Si 0.000 0.000 0.500
6 Si 0.000 0.500 0.000
7 Si 0.500 0.000 0.000
8 Si 0.500 0.500 0.500
9 I 0.250 0.250 0.250
10 I 0.250 0.250 0.750
11 I 0.250 0.750 0.250
12 I 0.250 0.750 0.750
13 I 0.750 0.250 0.250
14 I 0.750 0.250 0.750
15 I 0.750 0.750 0.250
16 I 0.750 0.750 0.750

***

Number 1: magnetization 0.00 μB per cell. Number 2: magnetization 0.00 μB per cell. Number 3: magnetization 0.00 μB per cell. Number 4: magnetization 0.00 μB per cell. Number 5: magnetization 0.00 μB per cell. Number 6: magnetization 0.00 μB per cell. Number 7: magnetization 0.00 μB per cell. Number 8: magnetization 0.00 μB per cell. Number 9: magnetization 0.00 μB per cell. Number 10: magnetization 0.00 μB per cell. Number 11: magnetization 6.59 μB per cell. Number 12: magnetization 0.00 μB per cell. Number 13: magnetization 0.00 μB per cell. Number 14: magnetization 0.00 μB per cell. Number 15: magnetization 0.00 μB per cell. Number 16: magnetization 0.00 μB per cell. Number 17: magnetization 0.00 μB per cell. Number 18: magnetization 0.00 μB per cell. Number 19: magnetization 0.00 μB per cell. Number 20: magnetization 0.00 μB per cell. Number 21: magnetization 0.00 μB per cell. Number 22: magnetization 0.91 μB per cell. Number 23: magnetization 0.00 μB per cell. Number 24: magnetization 0.00 μB per cell. Number 25: magnetization 1.88 μB per cell. Number 26: magnetization 0.00 μB per cell. Number 27: magnetization 0.00 μB per cell.